Computed, not measured: an optimized crystal structure of TlBiIr3 at the PBE level of DFT.

Computed properties:
The formation energy is 1.8718 eV per atom. The calculation puts the calculated density at 12.67 g/cm³.

Cell lengths 5.062, 5.062, 5.062 Å; angles 90.00, 90.00, 90.00 degrees
Fractional coordinates of all 5 atoms:
1 Tl 0.000 0.000 0.000
2 Bi 0.500 0.500 0.500
3 Ir 0.000 0.500 0.500
4 Ir 0.500 0.000 0.500
5 Ir 0.500 0.500 0.000